w) The following is a DFT calculation (meta-GGA SCAN) of BaTlPb2 at its PBEsol-relaxed geometry.

Computed properties:
- Volume: 126.1 Å³/cell
- Space-group type: P4/mmm, No. 123
- Size of the total moment: 0.00 μB per formula unit

extended XYZ file:
```
4
Lattice="4.978 0.000 0.000 0.000 4.978 0.000 0.000 0.000 5.087" Properties=species:S:1:pos:R:3 pbc="T T T"
Pb 0.000 2.489 0.000
Pb 2.489 0.000 0.000
Tl 2.489 2.489 2.543
Ba 0.000 0.000 2.543
```

---

x) The following is a DFT calculation (meta-GGA SCAN) of BaTlPb2 at its PBEsol-relaxed geometry.

Computed properties:
- Volume: 127.9 Å³/cell
- Space-group type: I4/mmm, No. 139
- Size of the total moment: 0.00 μB per formula unit

extended XYZ file:
```
4
Lattice="4.953 0.000 0.000 0.000 4.953 0.000 -2.477 -2.477 5.212" Properties=species:S:1:pos:R:3 pbc="T T T"
Tl 0.000 0.000 0.000
Pb 2.477 0.000 2.606
Ba 2.477 2.477 0.000
Pb 0.000 2.477 2.606
```

---

y) The following is a DFT calculation (meta-GGA SCAN) of BaTlPb2 at its PBEsol-relaxed geometry.

Computed properties:
- Volume: 133.9 Å³/cell
- Space-group type: C2/m, No. 12
- Size of the total moment: 0.00 μB per formula unit

extended XYZ file:
```
4
Lattice="-0.311 4.607 -0.522 -4.582 -2.869 -1.906 -0.547 0.618 5.783" Properties=species:S:1:pos:R:3 pbc="T T T"
Tl -0.156 2.303 -0.261
Ba -0.273 0.309 2.891
Pb -2.390 -0.161 0.005
Pb -3.050 2.517 3.351
```

---

The structure with the least stability is x).

---

w) The following is a DFT calculation (meta-GGA SCAN) of BaTl2Pb at its PBEsol-relaxed geometry.

Computed properties:
- Volume: 127.6 Å³/cell
- Space-group type: Pmm2, No. 25
- Size of the total moment: 0.00 μB per formula unit

extended XYZ file:
```
4
Lattice="-1.122 3.577 0.863 -3.545 -1.596 2.005 3.853 -0.364 6.522" Properties=species:S:1:pos:R:3 pbc="T T T"
Tl -1.530 0.915 2.794
Pb 0.725 0.702 6.610
Ba 1.916 -0.181 3.243
Tl 0.002 0.000 0.003
```

---

x) The following is a DFT calculation (meta-GGA SCAN) of BaTl2Pb at its PBEsol-relaxed geometry.

Computed properties:
- Volume: 127.4 Å³/cell
- Space-group type: I-4m2, No. 119
- Size of the total moment: 0.00 μB per formula unit

extended XYZ file:
```
4
Lattice="5.282 0.000 0.000 0.000 5.282 0.000 -2.641 -2.641 4.565" Properties=species:S:1:pos:R:3 pbc="T T T"
Tl 2.641 0.000 2.282
Ba 2.641 2.641 0.000
Pb 0.000 2.641 2.282
Tl 0.000 0.000 0.000
```

---

y) The following is a DFT calculation (meta-GGA SCAN) of BaTl2Pb at its PBEsol-relaxed geometry.

Computed properties:
- Volume: 126.7 Å³/cell
- Space-group type: I4/mmm, No. 139
- Size of the total moment: 0.00 μB per formula unit

extended XYZ file:
```
4
Lattice="5.454 0.000 0.000 -2.727 5.058 0.054 0.000 2.890 4.625" Properties=species:S:1:pos:R:3 pbc="T T T"
Tl 0.000 3.252 1.183
Ba 2.727 1.445 2.312
Pb 0.000 0.000 0.000
Tl 2.727 4.697 3.496
```

---

The structure with the least stability is w).

---

w) The following is a DFT calculation (meta-GGA SCAN) of BaZnPb3 at its PBEsol-relaxed geometry.

Computed properties:
- Volume: 160.0 Å³/cell
- Space-group type: Pm-3m, No. 221
- Size of the total moment: 0.00 μB per formula unit

extended XYZ file:
```
5
Lattice="-4.426 2.836 -1.357 -2.726 -2.296 4.095 1.565 4.020 3.296" Properties=species:S:1:pos:R:3 pbc="T T T"
Zn 0.000 0.000 0.000
Pb -2.213 1.418 -0.678
Pb 0.783 2.010 1.648
Pb -1.363 -1.148 2.048
Ba -2.794 2.280 3.017
```

---

x) The following is a DFT calculation (meta-GGA SCAN) of BaZnPb3 at its PBEsol-relaxed geometry.

Computed properties:
- Volume: 243.3 Å³/cell
- Space-group type: Pm-3m, No. 221
- Size of the total moment: 0.00 μB per formula unit

extended XYZ file:
```
5
Lattice="6.242 0.000 0.000 0.000 6.242 0.000 0.000 0.000 6.242" Properties=species:S:1:pos:R:3 pbc="T T T"
Ba 0.000 0.000 0.000
Pb 0.000 3.121 0.000
Pb 3.121 0.000 0.000
Zn 3.121 3.121 3.121
Pb 0.000 0.000 3.121
```

---

The structure with the least stability is x).

---

w) The following is a DFT calculation (meta-GGA SCAN) of BaPt5 at its PBEsol-relaxed geometry.

Computed properties:
- Volume: 118.5 Å³/cell
- Space-group type: Cm, No. 8
- Size of the total moment: 0.00 μB per formula unit

extended XYZ file:
```
6
Lattice="-1.524 2.320 -0.857 -4.213 -4.681 -0.255 -1.451 1.390 6.348" Properties=species:S:1:pos:R:3 pbc="T T T"
Pt -3.841 -1.992 1.438
Pt -4.955 0.598 5.511
Pt -6.472 -1.646 2.131
Pt -3.308 0.912 3.429
Ba -0.447 -0.247 0.125
Pt -4.443 -1.478 3.903
```

---

x) The following is a DFT calculation (meta-GGA SCAN) of BaPt5 at its PBEsol-relaxed geometry.

Computed properties:
- Volume: 113.6 Å³/cell
- Space-group type: P6/mmm, No. 191
- Size of the total moment: 0.00 μB per formula unit

extended XYZ file:
```
6
Lattice="-1.475 4.041 0.046 -5.122 -1.879 0.843 3.265 1.143 4.303" Properties=species:S:1:pos:R:3 pbc="T T T"
Ba 0.000 0.000 0.000
Pt -1.666 1.652 2.596
Pt -3.299 1.081 0.445
Pt 0.895 2.592 2.174
Pt 0.469 0.136 3.150
Pt -2.327 -0.872 1.997
```

---

The structure with the least stability is w).

---

w) The following is a DFT calculation (meta-GGA SCAN) of BaPtRh2 at its PBEsol-relaxed geometry.

Computed properties:
- Volume: 73.9 Å³/cell
- Space-group type: P4/mmm, No. 123
- Size of the total moment: 0.00 μB per formula unit

extended XYZ file:
```
4
Lattice="4.059 0.000 0.000 0.000 4.266 0.000 0.000 0.000 4.266" Properties=species:S:1:pos:R:3 pbc="T T T"
Pt 2.029 0.000 0.000
Rh 0.000 2.133 0.000
Ba 2.029 2.133 2.133
Rh 0.000 0.000 2.133
```

---

x) The following is a DFT calculation (meta-GGA SCAN) of BaPtRh2 at its PBEsol-relaxed geometry.

Computed properties:
- Volume: 76.4 Å³/cell
- Space-group type: Pmmm, No. 47
- Size of the total moment: 0.00 μB per formula unit

extended XYZ file:
```
4
Lattice="-0.743 -2.779 -0.505 0.730 0.472 -3.670 6.572 -1.949 1.057" Properties=species:S:1:pos:R:3 pbc="T T T"
Ba -0.006 -1.153 -2.088
Rh 4.493 -1.332 0.723
Pt 3.280 -2.128 -1.559
Rh 2.079 -0.616 0.334
```

---

y) The following is a DFT calculation (meta-GGA SCAN) of BaPtRh2 at its PBEsol-relaxed geometry.

Computed properties:
- Volume: 72.6 Å³/cell
- Space-group type: Cmmm, No. 65
- Size of the total moment: 0.00 μB per formula unit

extended XYZ file:
```
4
Lattice="-2.668 0.517 1.226 -1.767 -4.243 -2.056 1.828 -1.272 4.516" Properties=species:S:1:pos:R:3 pbc="T T T"
Pt -1.304 -2.499 1.843
Ba -1.334 0.259 0.613
Rh -0.883 -2.122 -1.028
Rh 0.914 -0.636 2.258
```

---

The structure with the least stability is y).

---

w) The following is a DFT calculation (meta-GGA SCAN) of BaPtRh2 at its PBEsol-relaxed geometry.

Computed properties:
- Volume: 73.9 Å³/cell
- Space-group type: C2/m, No. 12
- Size of the total moment: 0.00 μB per formula unit

extended XYZ file:
```
4
Lattice="2.933 -0.001 0.000 -0.235 5.206 0.000 -1.349 -2.603 4.843" Properties=species:S:1:pos:R:3 pbc="T T T"
Pt 1.466 0.000 0.000
Rh 0.674 1.301 2.421
Ba -0.117 2.603 0.000
Rh -0.674 -1.301 2.421
```

---

x) The following is a DFT calculation (meta-GGA SCAN) of BaPtRh2 at its PBEsol-relaxed geometry.

Computed properties:
- Volume: 92.2 Å³/cell
- Space-group type: R3m, No. 160
- Size of the total moment: 1.10 μB per formula unit

extended XYZ file:
```
4
Lattice="-0.114 -3.010 3.235 1.464 -4.104 -0.747 5.449 -0.874 2.399" Properties=species:S:1:pos:R:3 pbc="T T T"
Rh 1.382 -7.104 2.498
Ba 3.459 -3.976 2.462
Pt 0.853 -2.251 0.956
Rh 6.129 -5.682 3.989
```

---

The structure with the least stability is w).

---

w) The following is a DFT calculation (meta-GGA SCAN) of BaRuPt2 at its PBEsol-relaxed geometry.

Computed properties:
- Volume: 78.6 Å³/cell
- Space-group type: Fm-3m, No. 225
- Size of the total moment: 1.78 μB per formula unit

extended XYZ file:
```
4
Lattice="-1.445 0.331 -4.574 -4.688 -0.150 -1.057 -2.247 3.966 -1.531" Properties=species:S:1:pos:R:3 pbc="T T T"
Pt -6.285 3.110 -5.371
Pt -2.095 1.037 -1.790
Ba 0.000 0.000 0.000
Ru -4.190 2.073 -3.581
```

---

x) The following is a DFT calculation (meta-GGA SCAN) of BaRuPt2 at its PBEsol-relaxed geometry.

Computed properties:
- Volume: 80.8 Å³/cell
- Space-group type: Pm, No. 6
- Size of the total moment: 0.00 μB per formula unit

extended XYZ file:
```
4
Lattice="2.879 0.000 0.232 0.000 4.404 0.000 -0.208 0.000 6.359" Properties=species:S:1:pos:R:3 pbc="T T T"
Ba 1.028 2.202 4.984
Ru 0.911 0.000 2.539
Pt 2.525 0.000 0.487
Pt 2.421 2.202 2.108
```

---

The structure with the least stability is w).

---

w) The following is a DFT calculation (meta-GGA SCAN) of BaSc2Pt at its PBEsol-relaxed geometry.

Computed properties:
- Volume: 115.4 Å³/cell
- Space-group type: R-3m, No. 166
- Size of the total moment: 0.00 μB per formula unit

extended XYZ file:
```
4
Lattice="4.263 0.000 0.000 2.132 3.692 0.000 2.132 1.231 7.334" Properties=species:S:1:pos:R:3 pbc="T T T"
Pt 0.000 0.000 0.000
Sc 2.132 1.231 0.994
Ba 4.263 2.461 3.667
Sc 6.395 3.692 6.340
```

---

x) The following is a DFT calculation (meta-GGA SCAN) of BaSc2Pt at its PBEsol-relaxed geometry.

Computed properties:
- Volume: 95.7 Å³/cell
- Space-group type: I4/mmm, No. 139
- Size of the total moment: 1.58 μB per formula unit

extended XYZ file:
```
4
Lattice="-1.048 0.349 4.197 2.114 -3.697 0.835 3.731 4.304 -1.670" Properties=species:S:1:pos:R:3 pbc="T T T"
Pt 0.000 0.000 0.000
Sc 3.189 -0.533 0.841
Sc 1.608 1.490 2.522
Ba 0.533 -1.674 2.516
```

---

y) The following is a DFT calculation (meta-GGA SCAN) of BaSc2Pt at its PBEsol-relaxed geometry.

Computed properties:
- Volume: 87.0 Å³/cell
- Space-group type: Fm-3m, No. 225
- Size of the total moment: 0.00 μB per formula unit

extended XYZ file:
```
4
Lattice="4.974 0.000 0.000 2.487 4.307 0.000 2.487 1.436 4.061" Properties=species:S:1:pos:R:3 pbc="T T T"
Pt 4.974 2.872 2.030
Ba 0.000 0.000 0.000
Sc 7.460 4.307 3.046
Sc 2.487 1.436 1.015
```

---

The structure with the least stability is x).